Entry 1:
# Y2ScGe2 PBE-GGA optimized geometry
# Calculated formation energy: -0.784 eV per atom
# Magnetic moment: 0.000 μB/atom
# Total DFT energy (no corrections): -6.48 eV per atom
# ρ: 5.198 g/cm³
# Distance to the lowest polymorph of the same formula: 0.062 eV per atom
data_Y2ScGe2
_cell_length_a 11.865
_cell_length_b 4.297
_cell_length_c 10.393
_cell_angle_alpha 90.00
_cell_angle_beta 117.43
_cell_angle_gamma 90.00
_space_group_name_H-M_alt 'C 1 2/m 1'
_space_group_IT_number 12
loop_
_space_group_symop_operation_xyz
'x,y,z'
'-x,-y,-z'
'-x,y,-z'
'x,-y,z'
'x+1/2,y+1/2,z'
'-x+1/2,-y+1/2,-z'
'-x+1/2,y+1/2,-z'
'x+1/2,-y+1/2,z'
loop_
_atom_site_label
_atom_site_type_symbol
_atom_site_fract_x
_atom_site_fract_y
_atom_site_fract_z
_atom_site_occupancy
Y1 Y 0.016 0.000 0.185 1
Y2 Y 0.182 0.000 0.593 1
Sc1 Sc 0.222 0.500 0.867 1
Ge1 Ge 0.017 0.500 0.386 1
Ge2 Ge 0.126 0.500 0.066 1

Entry 2:
# Y3Sc4Ge4 PBE-GGA optimized geometry
# Calculated formation energy: -0.706 eV per atom
# Magnetic moment: 0.242 μB/atom
# Total DFT energy (no corrections): -6.45 eV per atom
# ρ: 4.816 g/cm³
data_Y3Sc4Ge4
_cell_length_a 3.968
_cell_length_b 8.468
_cell_length_c 15.130
_cell_angle_alpha 90.00
_cell_angle_beta 90.00
_cell_angle_gamma 90.00
_space_group_name_H-M_alt 'I m m m'
_space_group_IT_number 71
_space_group_name_Hall '-I 2 2'
loop_
_atom_site_label
_atom_site_type_symbol
_atom_site_fract_x
_atom_site_fract_y
_atom_site_fract_z
_atom_site_occupancy
Y1 Y 0.000 0.000 0.000 1
Y2 Y 0.000 0.500 0.110 1
Sc1 Sc 0.000 0.307 0.327 1
Ge1 Ge 0.000 0.000 0.241 1
Ge2 Ge 0.000 0.217 0.500 1

Entry 3:
# Y2Sc3Ge4 PBE-GGA optimized geometry
# Calculated formation energy: -0.921 eV per atom
# Magnetic moment: 0.000 μB/atom
# Total DFT energy (no corrections): -6.52 eV per atom
# ρ: 5.225 g/cm³
data_Y2Sc3Ge4
_cell_length_a 7.522
_cell_length_b 7.487
_cell_length_c 7.253
_cell_angle_alpha 90.00
_cell_angle_beta 110.19
_cell_angle_gamma 90.00
_space_group_name_H-M_alt 'P 1 21/c 1'
_space_group_IT_number 14
loop_
_space_group_symop_operation_xyz
'x,y,z'
'-x,-y,-z'
'-x,y+1/2,-z+1/2'
'x,-y+1/2,z+1/2'
loop_
_atom_site_label
_atom_site_type_symbol
_atom_site_fract_x
_atom_site_fract_y
_atom_site_fract_z
_atom_site_occupancy
Y1 Y 0.193 0.178 0.064 1
Sc1 Sc 0.248 0.668 0.243 1
Sc2 Sc 0.500 0.000 0.500 1
Ge1 Ge 0.084 0.542 0.845 1
Ge2 Ge 0.493 0.132 0.865 1

Entry 4:
# YScZnGe PBE-GGA optimized geometry
# Calculated formation energy: -0.524 eV per atom
# Magnetic moment: 0.000 μB/atom
# Total DFT energy (no corrections): -5.20 eV per atom
# ρ: 5.491 g/cm³
data_YScZnGe
_cell_length_a 6.903
_cell_length_b 6.903
_cell_length_c 6.903
_cell_angle_alpha 90.00
_cell_angle_beta 90.00
_cell_angle_gamma 90.00
_space_group_name_H-M_alt 'F -4 3 m'
_space_group_IT_number 216
_space_group_name_Hall 'F -4 2 3'
loop_
_atom_site_label
_atom_site_type_symbol
_atom_site_fract_x
_atom_site_fract_y
_atom_site_fract_z
_atom_site_occupancy
Y1 Y 0.000 0.000 0.000 1
Sc1 Sc 0.000 0.000 0.500 1
Zn1 Zn 0.250 0.250 0.750 1
Ge1 Ge 0.250 0.250 0.250 1

Entry 5:
# Sc2ZnGe PBE-GGA optimized geometry
# Calculated formation energy: -0.584 eV per atom
# Magnetic moment: 0.000 μB/atom
# Total DFT energy (no corrections): -5.22 eV per atom
# ρ: 4.837 g/cm³
data_Sc2ZnGe
_cell_length_a 5.498
_cell_length_b 3.957
_cell_length_c 7.701
_cell_angle_alpha 90.00
_cell_angle_beta 110.90
_cell_angle_gamma 90.00
_space_group_name_H-M_alt 'P 1 21/m 1'
_space_group_IT_number 11
loop_
_space_group_symop_operation_xyz
'x,y,z'
'-x,-y,-z'
'-x,y+1/2,-z'
'x,-y+1/2,z'
loop_
_atom_site_label
_atom_site_type_symbol
_atom_site_fract_x
_atom_site_fract_y
_atom_site_fract_z
_atom_site_occupancy
Sc1 Sc 0.212 0.250 0.430 1
Sc2 Sc 0.217 0.250 0.926 1
Zn1 Zn 0.333 0.750 0.208 1
Ge1 Ge 0.342 0.750 0.709 1

Entry 6:
# Sc2ZnGe PBE-GGA optimized geometry
# Calculated formation energy: -0.544 eV per atom
# Magnetic moment: 0.000 μB/atom
# Total DFT energy (no corrections): -5.18 eV per atom
# ρ: 5.083 g/cm³
data_Sc2ZnGe
_cell_length_a 4.479
_cell_length_b 4.479
_cell_length_c 3.713
_cell_angle_alpha 90.00
_cell_angle_beta 90.00
_cell_angle_gamma 90.00
_space_group_name_H-M_alt 'P 4/m m m'
_space_group_IT_number 123
_space_group_name_Hall '-P 4 2'
loop_
_atom_site_label
_atom_site_type_symbol
_atom_site_fract_x
_atom_site_fract_y
_atom_site_fract_z
_atom_site_occupancy
Sc1 Sc 0.000 0.500 0.000 1
Zn1 Zn 0.000 0.000 0.500 1
Ge1 Ge 0.500 0.500 0.500 1